# 1
# LiPm2Ge3Au4 | Alexandria via LeMat-Bulk | PBE | relaxed
data_LiPm2Ge3Au4
_chemical_formula_sum 'Li1 Pm2 Ge3 Au4'
_space_group_name_H-M_alt 'P 1'
_space_group_IT_number 1
_cell_length_a 4.346
_cell_length_b 4.346
_cell_length_c 10.865
_cell_angle_alpha 90.00
_cell_angle_beta 90.00
_cell_angle_gamma 90.00
loop_
_space_group_symop_operation_xyz
'x,y,z'
loop_
_atom_site_label
_atom_site_type_symbol
_atom_site_fract_x
_atom_site_fract_y
_atom_site_fract_z
_atom_site_occupancy
Li1 Li 0.000 0.000 0.000 1
Pm1 Pm 0.000 0.500 0.737 1
Pm2 Pm 0.500 0.000 0.263 1
Ge1 Ge 0.000 0.500 0.356 1
Ge2 Ge 0.500 0.000 0.644 1
Ge3 Ge 0.500 0.500 0.000 1
Au1 Au 0.000 0.000 0.500 1
Au2 Au 0.000 0.500 0.127 1
Au3 Au 0.500 0.000 0.873 1
Au4 Au 0.500 0.500 0.500 1
# - energy of formation (meV/atom) = -601
# - symmetry = P-4m2, No. 115
# - DOS(E_F) (states/eV/cell) = 4.5
# - final energy (eV for the cell shown) = -44.38

# 2
# Li2ZnCl4 | Alexandria via LeMat-Bulk | PBE | relaxed
data_Li2ZnCl4
_chemical_formula_sum 'Li2 Zn1 Cl4'
_space_group_name_H-M_alt 'P 1'
_space_group_IT_number 1
_cell_length_a 6.607
_cell_length_b 6.607
_cell_length_c 6.607
_cell_angle_alpha 128.56
_cell_angle_beta 128.56
_cell_angle_gamma 75.72
loop_
_space_group_symop_operation_xyz
'x,y,z'
loop_
_atom_site_label
_atom_site_type_symbol
_atom_site_fract_x
_atom_site_fract_y
_atom_site_fract_z
_atom_site_occupancy
Li1 Li 0.250 0.750 0.500 1
Li2 Li 0.750 0.250 0.500 1
Zn1 Zn 0.000 0.000 0.000 1
Cl1 Cl 0.106 0.642 0.000 1
Cl2 Cl 0.358 0.358 0.464 1
Cl3 Cl 0.642 0.106 0.000 1
Cl4 Cl 0.894 0.894 0.536 1
# - formation energy without anion corrections (meV per atom) = -1536
# - symmetry = I-42m, No. 121
# - DOS(E_F) (states/eV/cell) = 0.0
# - distance to the lowest polymorph of the same formula (eV per atom) = 0.0000
# - final energy (eV for the cell shown) = -23.24